(1)
Entry from the Alexandria database: an optimized crystal structure of Cu7Pd3Pt (GGA-PBE).

a b c (Å): 4.6344 6.4412 6.4412
angles (deg): 88.89 112.01 112.01
Fractional positions:
1 Cu 0.8030 0.8187 0.8187
2 Cu 0.1970 0.1813 0.1813
3 Cu 0.0000 0.5000 0.5000
4 Cu 0.3299 0.5834 0.0789
5 Cu 0.3299 0.0789 0.5834
6 Cu 0.6701 0.4166 0.9211
7 Cu 0.6701 0.9211 0.4166
8 Pt 0.5000 0.5000 0.5000
9 Pd 0.5000 0.0000 0.0000
10 Pd 0.0000 0.2294 0.7706
11 Pd 0.0000 0.7706 0.2294

Output
size of the total moment: 0.00 μB per formula unit
formation energy: 1.78 eV per formula unit

=====

(2)
Entry from the Alexandria database: an optimized crystal structure of Cu3Pd2Pt5 (GGA-PBE).

a b c (Å): 8.4763 8.0896 8.8318
angles (deg): 133.49 134.39 61.33
Fractional positions:
1 Pd 0.5453 0.2412 0.2167
2 Pd 0.4547 0.7588 0.7833
3 Pd 0.1714 0.9755 0.2167
4 Pd 0.8286 0.0245 0.7833
5 Pt 0.9993 0.2493 0.4985
6 Pt 0.5510 0.8009 0.2366
7 Pt 0.4490 0.1991 0.7634
8 Pt 0.4981 0.7481 0.4962
9 Pt 0.2519 0.5019 0.0037
10 Pt 0.1856 0.4356 0.2366
11 Pt 0.5019 0.2519 0.5038
12 Pt 0.8144 0.5644 0.7634
13 Pt 0.0007 0.7507 0.5015
14 Pt 0.7481 0.4981 0.9963
15 Cu 0.0266 0.8169 0.2721
16 Cu 0.7455 0.4552 0.2721
17 Cu 0.7542 0.0042 0.0084
18 Cu 0.2545 0.5448 0.7279
19 Cu 0.2458 0.9958 0.9916
20 Cu 0.9734 0.1831 0.7279

Output
size of the total moment: 0.00 μB per formula unit
formation energy: 0.91 eV per formula unit

=====

(3)
Entry from the Alexandria database: an optimized crystal structure of Cu2Pd2Pt15 (GGA-PBE).

a b c (Å): 6.9226 6.9226 6.9226
angles (deg): 82.01 82.01 82.01
Fractional positions:
1 Cu 0.9042 0.9042 0.9042
2 Cu 0.0958 0.0958 0.0958
3 Pt 0.0000 0.0000 0.5000
4 Pt 0.3343 0.3343 0.8321
5 Pt 0.3331 0.6669 0.0000
6 Pt 0.3331 0.0000 0.6669
7 Pt 0.6657 0.1679 0.6657
8 Pt 0.3343 0.8321 0.3343
9 Pt 0.1679 0.6657 0.6657
10 Pt 0.5000 0.0000 0.0000
11 Pt 0.6669 0.0000 0.3331
12 Pt 0.6657 0.6657 0.1679
13 Pt 0.0000 0.3331 0.6669
14 Pt 0.8321 0.3343 0.3343
15 Pt 0.0000 0.6669 0.3331
16 Pt 0.6669 0.3331 0.0000
17 Pt 0.0000 0.5000 0.0000
18 Pd 0.7065 0.7065 0.7065
19 Pd 0.2935 0.2935 0.2935

Output
size of the total moment: 0.00 μB per formula unit
formation energy: 3.12 eV per formula unit

=====

(4)
Entry from the Alexandria database: an optimized crystal structure of CuPd3Pt (GGA-PBE).

a b c (Å): 4.5561 4.7772 7.2594
angles (deg): 109.00 90.00 90.00
Last column: magnetic moment on the atom in μB.
Fractional positions:
1 Pd 0.5154 0.5516 0.6963  0.07
2 Pd 0.0154 0.4196 0.0923  0.08
3 Pd 0.5154 0.3478 0.2911  0.08
4 Pd 0.5154 0.9440 0.4948  0.07
5 Pd 0.0154 0.2159 0.6870  0.07
6 Pd 0.0154 0.8235 0.8886  0.07
7 Cu 0.5154 0.1543 0.8919  0.02
8 Cu 0.0154 0.6132 0.4915  0.02
9 Pt 0.5154 0.7539 0.0881  0.10
10 Pt 0.0154 0.0136 0.2953  0.10

Output
size of the total moment: 0.33 μB per formula unit
formation energy: -0.14 eV per formula unit

=====

(5)
Entry from the Alexandria database: an optimized crystal structure of CuPdPt14 (GGA-PBE).

a b c (Å): 5.5646 5.5646 9.2878
angles (deg): 90.00 90.00 120.13
Fractional positions:
1 Pt 0.2108 0.2901 0.0000
2 Pt 0.3764 0.1264 0.2540
3 Pt 0.2105 0.7895 0.0000
4 Pt 0.8736 0.6236 0.2540
5 Pt 0.8752 0.1248 0.2512
6 Pt 0.8736 0.6236 0.7460
7 Pt 0.3764 0.1264 0.7460
8 Pt 0.5397 0.9626 0.5000
9 Pt 0.7098 0.2902 0.0000
10 Pt 0.3767 0.6233 0.2560
11 Pt 0.0374 0.4603 0.5000
12 Pt 0.7099 0.7892 0.0000
13 Pt 0.3767 0.6233 0.7440
14 Pt 0.8752 0.1248 0.7488
15 Cu 0.5397 0.4603 0.5000
16 Pd 0.0386 0.9614 0.5000

Output
size of the total moment: 0.00 μB per formula unit
formation energy: -0.22 eV per formula unit

=====

(6)
Entry from the Alexandria database: an optimized crystal structure of Cu5Pd4Pt2 (GGA-PBE).

a b c (Å): 4.8209 4.6840 9.1441
angles (deg): 82.20 74.72 59.03
Fractional positions:
1 Cu 0.2500 0.5000 0.5000
2 Cu 0.5000 0.0000 0.0000
3 Cu 0.5000 0.5000 0.0000
4 Cu 0.7500 0.5000 0.5000
5 Cu 0.0000 0.5000 0.0000
6 Pd 0.5398 0.6691 0.2513
7 Pd 0.2089 0.3309 0.2513
8 Pd 0.7911 0.6691 0.7487
9 Pd 0.4602 0.3309 0.7487
10 Pt 0.8280 0.0000 0.3440
11 Pt 0.1720 0.0000 0.6560

Output
size of the total moment: 0.00 μB per formula unit
formation energy: 1.82 eV per formula unit

=====

(7)
Entry from the Alexandria database: an optimized crystal structure of Cu2PdPt5 (GGA-PBE).

a b c (Å): 2.7250 6.8264 6.8264
angles (deg): 78.85 78.49 78.49
Fractional positions:
1 Cu 0.2584 0.2416 0.2416
2 Cu 0.7416 0.7584 0.7584
3 Pd 0.0000 0.0000 0.0000
4 Pt 0.3675 0.8669 0.3982
5 Pt 0.6325 0.6018 0.1331
6 Pt 0.6325 0.1331 0.6018
7 Pt 0.3675 0.3982 0.8669
8 Pt 0.0000 0.5000 0.5000

Output
size of the total moment: 0.00 μB per formula unit
formation energy: -0.33 eV per formula unit

=====

(8)
Entry from the Alexandria database: an optimized crystal structure of Pu4CuPd2Pt (GGA-PBE).

a b c (Å): 4.9874 4.9874 8.5894
angles (deg): 73.12 73.12 60.00
Last column: magnetic moment on the atom in μB.
Fractional positions:
1 Pu 0.8729 0.8729 0.3813  5.38
2 Pu 0.1271 0.1271 0.6187  5.38
3 Pu 0.6222 0.6222 0.1333  5.34
4 Pu 0.3778 0.3778 0.8667  5.34
5 Pt 0.5000 0.5000 0.5000  -0.07
6 Cu 0.0000 0.0000 0.0000  0.04
7 Pd 0.2549 0.2549 0.2354  0.01
8 Pd 0.7451 0.7451 0.7646  0.01

Output
size of the total moment: 22.76 μB per formula unit
formation energy: -2.84 eV per formula unit

=====

Q: Number 6 is which compound?
A: Cu5Pd4Pt2